An optimized crystal structure of BaLi2TlAu2, computed with PBE.

Energy (Ha/atom): -0.1080

abc: 4.7374 4.7374 7.4917
angles: 90.00 90.00 120.00
Fractional positions:
Ba 0.0000 0.0000 0.0000
Li 0.3333 0.6667 0.6518
Li 0.6667 0.3333 0.3482
Tl 0.0000 0.0000 0.5000
Au 0.3333 0.6667 0.2890
Au 0.6667 0.3333 0.7110